Entry from the Alexandria database: a relaxed structure of Li2ZnMo (PBE).

Total energy: -15.1 eV/f.u.
Energy relative to the elements: 0.2033 eV per atom
M_tot: 0.00 μB/f.u.

a b c (Å): 2.483 4.795 5.053
angles (deg): 90.00 92.15 90.00
Space group P2/m (No. 10)
Symmetry-distinct sites (fractional):
Li 0.147 0.000 0.234 x2
Zn 0.000 0.500 0.500 x1
Mo 0.500 0.500 0.000 x1

=====

Entry from the Alexandria database: a relaxed structure of Zr3Co2 (PBE).

Total energy: -41.0 eV/f.u.
Energy relative to the elements: -0.2335 eV per atom
M_tot: 0.00 μB/f.u.
Excess energy over the best structure of this formula in the dataset: 0 meV/atom

a b c (Å): 3.913 5.523 8.256
angles (deg): 90.00 90.00 90.00
Space group Immm (No. 71)
Symmetry-distinct sites (fractional):
Zr 0.000 0.000 0.000 x2
Zr 0.000 0.500 0.199 x4
Co 0.000 0.219 0.500 x4

=====

Entry from the Alexandria database: a relaxed structure of YCd2SnRu (PBE).

Total energy: -14.0 eV/f.u.
Energy relative to the elements: 1.5130 eV per atom
M_tot: 2.78 μB/f.u.

a b c (Å): 5.564 5.564 5.654
angles (deg): 90.00 90.00 90.00
Space group P4/mmm (No. 123)
Symmetry-distinct sites (fractional):
Y 0.000 0.000 0.000 x1
Cd 0.000 0.500 0.000 x2
Sn 0.000 0.000 0.500 x1
Ru 0.500 0.500 0.500 x1

=====

Entry from the Alexandria database: a relaxed structure of DyAlAu (PBE).

Total energy: -13.8 eV/f.u.
Energy relative to the elements: -0.7401 eV per atom
M_tot: 0.00 μB/f.u.

a b c (Å): 4.244 4.244 7.125
angles (deg): 90.00 90.00 90.00
Space group P4/nmm (No. 129, origin choice 2)
Symmetry-distinct sites (fractional):
Dy 0.250 0.250 0.161 x2
Al 0.250 0.750 0.500 x2
Au 0.250 0.250 0.736 x2

=====

Entry from the Alexandria database: a relaxed structure of Sn3RhI (PBE).

Total energy: -21.5 eV/f.u.
M_tot: 0.00 μB/f.u.
Excess energy over the best structure of this formula in the dataset: 0 meV/atom
Formation energy without anion corrections: -0.127 eV per atom

a b c (Å): 5.225 5.225 5.225
angles (deg): 90.00 90.00 90.00
Space group Pm-3m (No. 221)
Symmetry-distinct sites (fractional):
Sn 0.000 0.000 0.500 x3
Rh 0.000 0.000 0.000 x1
I 0.500 0.500 0.500 x1

=====

Entry from the Alexandria database: a relaxed structure of NaLiY2H (PBE).

Total energy: -19.2 eV/f.u.
M_tot: 0.00 μB/f.u.
Excess energy over the best structure of this formula in the dataset: 0 meV/atom

a b c (Å): 4.696 4.696 5.311
angles (deg): 90.00 90.00 90.00
Space group P4/mmm (No. 123)
Symmetry-distinct sites (fractional):
Na 0.000 0.000 0.000 x1
Li 0.500 0.500 0.000 x1
Y 0.000 0.500 0.500 x2
H 0.000 0.000 0.500 x1

=====

Entry from the Alexandria database: a relaxed structure of DyNp2Fe9 (PBE).

Total energy: -106.4 eV/f.u.
Energy relative to the elements: 0.0243 eV per atom
M_tot: 0.66 μB/f.u.

a b c (Å): 4.8243 4.8243 25.1309
angles (deg): 90.00 90.00 120.00
Space group R-3m (No. 166, hexagonal axes)
Symmetry-distinct sites (fractional):
Dy 0.0000 0.0000 0.0000 x3
Np 0.0000 0.0000 0.1445 x6
Fe 0.0000 0.0000 0.3319 x6
Fe 0.0000 0.0000 0.5000 x3
Fe 0.0030 0.5015 0.0809 x18

=====

Entry from the Alexandria database: a relaxed structure of CsZnH8Rh2 (PBE).

Total energy: -44.5 eV/f.u.
M_tot: 0.00 μB/f.u.

a b c (Å): 4.8180 4.8180 21.4028
angles (deg): 90.00 90.00 120.00
Space group R-3 (No. 148, hexagonal axes)
Symmetry-distinct sites (fractional):
Cs 0.0000 0.0000 0.0000 x3
Zn 0.0000 0.0000 0.5000 x3
H 0.0000 0.0000 0.2657 x6
H 0.0236 0.7227 0.8752 x18
Rh 0.0000 0.0000 0.1902 x6

=====

Entry from the Alexandria database: a relaxed structure of RbAg3Sb3 (PBE).

Total energy: -21.5 eV/f.u.
M_tot: 0.00 μB/f.u.
Excess energy over the best structure of this formula in the dataset: 0 meV/atom
Formation energy without anion corrections: 0.054 eV per atom

a b c (Å): 7.735 7.735 7.735
angles (deg): 90.00 90.00 90.00
Space group Pm-3n (No. 223)
Symmetry-distinct sites (fractional):
Rb 0.000 0.000 0.000 x2
Ag 0.000 0.250 0.500 x6
Sb 0.000 0.500 0.250 x6

=====

Entry from the Alexandria database: a relaxed structure of Zn2RhSe (PBE).

Total energy: -13.3 eV/f.u.
M_tot: 0.00 μB/f.u.
Formation energy without anion corrections: 0.031 eV per atom

a b c (Å): 6.311 6.311 6.311
angles (deg): 90.00 90.00 90.00
Space group F-43m (No. 216)
Symmetry-distinct sites (fractional):
Zn 0.000 0.000 0.000 x4
Zn 0.250 0.250 0.250 x4
Rh 0.250 0.250 0.750 x4
Se 0.000 0.000 0.500 x4

=====

Entry from the Alexandria database: a relaxed structure of CdMoSe2 (PBE).

Total energy: -19.4 eV/f.u.
M_tot: 0.00 μB/f.u.
Excess energy over the best structure of this formula in the dataset: 123 meV/atom
Formation energy without anion corrections: -0.177 eV per atom

a b c (Å): 8.911 3.216 6.494
angles (deg): 90.00 112.59 90.00
Space group Cm (No. 8)
Symmetry-distinct sites (fractional):
Cd 0.000 0.000 0.000 x2
Mo 0.166 0.500 0.424 x2
Se 0.201 0.000 0.744 x2
Se 0.359 0.000 0.371 x2

=====

Entry from the Alexandria database: a relaxed structure of Li2TmInS4 (PBE).

Total energy: -38.4 eV/f.u.
M_tot: 0.00 μB/f.u.
Formation energy without anion corrections: -1.351 eV per atom

a b c (Å): 6.583 3.818 6.585
angles (deg): 90.00 109.56 90.00
Space group P2/m (No. 10)
Symmetry-distinct sites (fractional):
Li 0.000 0.000 0.000 x1
Li 0.500 0.500 0.000 x1
Tm 0.000 0.500 0.500 x1
In 0.500 0.000 0.500 x1
S 0.249 0.000 0.751 x2
S 0.259 0.500 0.255 x2

=====

Entry from the Alexandria database: a relaxed structure of ThGa4Co (PBE).

Total energy: -26.5 eV/f.u.
Energy relative to the elements: 0.0247 eV per atom
M_tot: 0.01 μB/f.u.

a b c (Å): 4.422 4.422 6.941
angles (deg): 90.00 90.00 90.00
Space group P4/mmm (No. 123)
Symmetry-distinct sites (fractional):
Th 0.000 0.000 0.000 x1
Ga 0.000 0.500 0.500 x2
Ga 0.500 0.500 0.171 x2
Co 0.500 0.500 0.500 x1

=====

Entry from the Alexandria database: a relaxed structure of PmTm5Pb4 (PBE).

Total energy: -44.0 eV/f.u.
Energy relative to the elements: -0.2089 eV per atom
M_tot: 0.00 μB/f.u.

a b c (Å): 17.763 4.602 7.815
angles (deg): 90.00 100.94 90.00
Space group C2/m (No. 12)
Symmetry-distinct sites (fractional):
Pm 0.000 0.000 0.000 x2
Tm 0.000 0.000 0.500 x2
Tm 0.139 0.500 0.728 x4
Tm 0.214 0.500 0.325 x4
Pb 0.042 0.500 0.285 x4
Pb 0.187 0.000 0.026 x4

=====

Entry from the Alexandria database: a relaxed structure of SrTiAs2Pd (PBE).

Total energy: -23.1 eV/f.u.
Energy relative to the elements: 0.1918 eV per atom
M_tot: 0.89 μB/f.u.
Excess energy over the best structure of this formula in the dataset: 0 meV/atom

a b c (Å): 4.812 4.812 5.899
angles (deg): 90.00 90.00 90.00
Space group P4/mmm (No. 123)
Symmetry-distinct sites (fractional):
Sr 0.000 0.000 0.000 x1
Ti 0.000 0.000 0.500 x1
As 0.000 0.500 0.500 x2
Pd 0.500 0.500 0.000 x1

=====

Entry from the Alexandria database: a relaxed structure of TmAgPb2 (PBE).

Total energy: -15.0 eV/f.u.
Energy relative to the elements: -0.0657 eV per atom
M_tot: 0.00 μB/f.u.

a b c (Å): 3.749 3.749 7.407
angles (deg): 90.00 90.00 90.00
Space group P4/mmm (No. 123)
Symmetry-distinct sites (fractional):
Tm 0.000 0.000 0.000 x1
Ag 0.000 0.000 0.500 x1
Pb 0.500 0.500 0.268 x2

=====

Entry from the Alexandria database: a relaxed structure of HoMg3Ir (PBE).

Total energy: -20.1 eV/f.u.
Energy relative to the elements: -0.3753 eV per atom
M_tot: 0.00 μB/f.u.

a b c (Å): 5.397 5.787 7.347
angles (deg): 90.00 106.54 90.00
Space group P2_1/m (No. 11)
Symmetry-distinct sites (fractional):
Ho 0.114 0.250 0.410 x2
Mg 0.019 0.250 0.890 x2
Mg 0.493 0.502 0.792 x4
Ir 0.324 0.750 0.463 x2

=====

Entry from the Alexandria database: a relaxed structure of K2YCd2 (PBE).

Total energy: -8.2 eV/f.u.
Energy relative to the elements: 0.4479 eV per atom
M_tot: 0.00 μB/f.u.
Excess energy over the best structure of this formula in the dataset: 312 meV/atom

a b c (Å): 6.002 6.002 10.303
angles (deg): 90.00 90.00 90.00
Space group I4/mmm (No. 139)
Symmetry-distinct sites (fractional):
K 0.000 0.000 0.140 x4
Y 0.000 0.000 0.500 x2
Cd 0.000 0.500 0.250 x4

=====

Entry from the Alexandria database: a relaxed structure of Hf2PdSe (PBE).

Total energy: -30.3 eV/f.u.
M_tot: 0.00 μB/f.u.
Formation energy without anion corrections: -0.434 eV per atom

a b c (Å): 7.198 7.198 6.274
angles (deg): 90.00 90.00 90.00
Space group I-42d (No. 122)
Symmetry-distinct sites (fractional):
Hf 0.249 0.250 0.125 x8
Pd 0.000 0.000 0.500 x4
Se 0.000 0.000 0.000 x4

=====

Entry from the Alexandria database: a relaxed structure of Ba3MnCr (PBE).

Total energy: -20.0 eV/f.u.
Energy relative to the elements: 0.9141 eV per atom
M_tot: 8.05 μB/f.u.
Excess energy over the best structure of this formula in the dataset: 0 meV/atom

a b c (Å): 6.206 6.206 6.206
angles (deg): 90.00 90.00 90.00
Space group Pm-3m (No. 221)
Symmetry-distinct sites (fractional):
Ba 0.000 0.000 0.500 x3
Mn 0.500 0.500 0.500 x1
Cr 0.000 0.000 0.000 x1